Density functional theory data (GGA-PBE) for crystalline CdAgSn2Se4 at its relaxed geometry.

Cell lengths 7.1237, 5.8254, 7.1340 Å; angles 65.79, 48.23, 65.98 degrees
Closest atoms and distances in Å follow each position.
Atoms (fractional coordinates):
Cd: 0.0000 0.0000 0.0000  6 Se 2.84-2.92
Ag: 0.5003 0.5003 0.4997  6 Se 2.91-2.98
Sn: 0.2495 0.2495 0.2505  6 Se 2.91-2.92
Sn: 0.7495 0.7495 0.7505  6 Se 2.91-2.92
Se: 0.9996 0.4996 0.0004  2 Ag 2.91-2.92, 2 Sn 2.91, 2 Cd 2.91-2.92
Se: 0.2432 0.7550 0.2450  1 Cd 2.84, 4 Sn 2.91-2.92, 1 Ag 2.98
Se: 0.4996 0.9996 0.5004  2 Ag 2.91-2.92, 2 Sn 2.91, 2 Cd 2.91-2.92
Se: 0.7550 0.2432 0.7568  1 Cd 2.84, 4 Sn 2.91-2.92, 1 Ag 2.98

## Properties
Space-group type: No. 42
Calculated total energy, eV/atom: -3.57
Formation energy without anion corrections, eV/f.u.: -2.83

=====

Density functional theory data (GGA-PBE) for crystalline HfInB2Au at its relaxed geometry.

Cell lengths 4.2966, 4.2966, 5.2798 Å; angles 90.00, 90.00, 90.00 degrees
Closest atoms and distances in Å follow each position.
Atoms (fractional coordinates):
Hf: 0.0000 0.0000 0.0000  4 Au 3.04
In: 0.5000 0.5000 0.5000  4 B 2.15
B: 0.0000 0.5000 0.5000  2 In 2.15
B: 0.5000 0.0000 0.5000  2 In 2.15
Au: 0.5000 0.5000 0.0000  2 In 2.64

## Properties
Space-group type: No. 123
DFT formation energy, eV per formula unit: 8.0
Calculated total energy, eV/atom: -4.27

=====

- The lowest calculated total energy belongs to which entry?
  HfInB2Au

=====

- The highest calculated total energy belongs to which entry?
  CdAgSn2Se4

=====

- Which of these has the lowest calculated total energy?
  HfInB2Au